Record 1
HoPbAu (PBE-GGA, optimized geometry); energy = -4.0601 eV/atom
1.0
2.469 1.425 4.031
-2.469 1.425 4.031
0.000 -2.850 4.031
Ho Au Pb
1 1 1
direct
0.000 0.000 0.000 Ho
0.750 0.750 0.750 Au
0.250 0.250 0.250 Pb

---

Record 2
HoPbAu (PBE-GGA, optimized geometry); energy = -4.5232 eV/atom
1.0
0.000 3.405 3.405
3.405 0.000 3.405
3.405 3.405 0.000
Ho Pb Au
1 1 1
direct
0.250 0.250 0.250 Ho
0.750 0.750 0.750 Pb
0.000 0.000 0.000 Au

---

Record 3
HoPbAuSeS2 (PBE-GGA, optimized geometry); energy = -4.8350 eV/atom
1.0
-6.195 3.307 -0.031
5.066 -3.001 -3.828
-5.058 -9.470 0.729
Ho S Pb Au Se
2 4 2 2 2
direct
0.000 0.000 0.000 Ho
0.000 0.000 0.500 Ho
0.635 0.365 0.455 S
0.365 0.635 0.545 S
0.365 0.635 0.955 S
0.635 0.365 0.045 S
0.756 0.244 0.750 Pb
0.244 0.756 0.250 Pb
0.439 0.561 0.750 Au
0.561 0.439 0.250 Au
0.089 0.911 0.750 Se
0.911 0.089 0.250 Se

---

Record 4
HoPbAuSe2S (PBE-GGA, optimized geometry); energy = -4.7118 eV/atom
1.0
-3.371 6.304 -0.627
2.333 -5.924 -3.311
-9.015 -4.628 1.929
Pb Se Au S Ho
2 4 2 2 2
direct
0.251 0.749 0.250 Pb
0.749 0.251 0.750 Pb
0.646 0.354 0.450 Se
0.354 0.646 0.550 Se
0.354 0.646 0.950 Se
0.646 0.354 0.050 Se
0.531 0.469 0.250 Au
0.469 0.531 0.750 Au
0.083 0.917 0.750 S
0.917 0.083 0.250 S
0.000 0.000 0.000 Ho
0.000 0.000 0.500 Ho

---

Record 5
HoTePbAuS2 (PBE-GGA, optimized geometry); energy = -4.6933 eV/atom
1.0
1.956 0.047 7.109
-5.074 -1.649 -5.089
4.425 -10.060 -1.152
Ho S Te Au Pb
2 4 2 2 2
direct
0.000 0.000 0.000 Ho
0.000 0.000 0.500 Ho
0.625 0.375 0.439 S
0.375 0.625 0.561 S
0.375 0.625 0.939 S
0.625 0.375 0.061 S
0.888 0.112 0.250 Te
0.112 0.888 0.750 Te
0.475 0.525 0.750 Au
0.525 0.475 0.250 Au
0.797 0.203 0.750 Pb
0.203 0.797 0.250 Pb

---

Record 6
HoTe2PbAuS (PBE-GGA, optimized geometry); energy = -4.4336 eV/atom
1.0
-6.836 3.456 -0.752
6.346 -2.683 -3.431
-4.525 -9.204 -1.172
Te Au Pb S Ho
4 2 2 2 2
direct
0.851 0.149 0.946 Te
0.149 0.851 0.054 Te
0.851 0.149 0.554 Te
0.149 0.851 0.446 Te
0.981 0.019 0.750 Au
0.019 0.981 0.250 Au
0.239 0.761 0.750 Pb
0.761 0.239 0.250 Pb
0.424 0.576 0.250 S
0.576 0.424 0.750 S
0.500 0.500 0.000 Ho
0.500 0.500 0.500 Ho